Entry 1:
Computed, not measured: a relaxed CsCuBr3 crystal at the PBE level of DFT.

Cell: 7.5165 7.5165 12.8972 Å, 90.00 90.00 118.08°
With the nearest neighbours (Å) after each atom.
Sites, in units of the cell vectors:
Cs: 0.1827 0.8173 0.7500  12 Br 3.78-3.99
Cs: 0.4793 0.4793 0.5000  8 Br 3.64-3.96
Cs: 0.5207 0.5207 0.0000  8 Br 3.64-3.96
Cs: 0.8173 0.1827 0.2500  12 Br 3.78-3.99
Cu: 0.1410 0.8376 0.3780  4 Br 2.38-2.53
Cu: 0.1624 0.8590 0.1220  4 Br 2.38-2.53
Cu: 0.8376 0.1410 0.6220  4 Br 2.38-2.53
Cu: 0.8590 0.1624 0.8780  4 Br 2.38-2.53
Br: 0.0080 0.0080 0.0000  2 Cu 2.51
Br: 0.0336 0.5673 0.0148  1 Cu 2.38
Br: 0.1721 0.3112 0.7837  1 Cu 2.41
Br: 0.2998 0.7002 0.2500  2 Cu 2.53
Br: 0.3112 0.1721 0.2163  1 Cu 2.41
Br: 0.4327 0.9664 0.4852  1 Cu 2.38
Br: 0.5673 0.0336 0.9852  1 Cu 2.38
Br: 0.6888 0.8279 0.7163  1 Cu 2.41
Br: 0.7002 0.2998 0.7500  2 Cu 2.53
Br: 0.8279 0.6888 0.2837  1 Cu 2.41
Br: 0.9664 0.4327 0.5148  1 Cu 2.38
Br: 0.9920 0.9920 0.5000  2 Cu 2.51

Values from the calculation:
For the total energy, the calculation gives -2.832 eV per atom.

Entry 2:
Computed, not measured: a relaxed Cs2FeCuBr6 crystal at the PBE level of DFT.

Cell: 7.4971 7.4971 7.4971 Å, 60.00 60.00 60.00°
With the nearest neighbours (Å) after each atom.
Sites, in units of the cell vectors:
Cs: 0.2500 0.2500 0.2500  12 Br 3.75
Cs: 0.7500 0.7500 0.7500  12 Br 3.75
Fe: 0.0000 0.0000 0.0000  6 Br 2.61
Cu: 0.5000 0.5000 0.5000  6 Br 2.69
Br: 0.2463 0.2463 0.7537  1 Fe 2.61, 1 Cu 2.69
Br: 0.2463 0.7537 0.2463  1 Fe 2.61, 1 Cu 2.69
Br: 0.2463 0.7537 0.7537  1 Fe 2.61, 1 Cu 2.69
Br: 0.7537 0.2463 0.2463  1 Fe 2.61, 1 Cu 2.69
Br: 0.7537 0.2463 0.7537  1 Fe 2.61, 1 Cu 2.69
Br: 0.7537 0.7537 0.2463  1 Fe 2.61, 1 Cu 2.69

Values from the calculation:
For the total energy, the calculation gives -3.307 eV per atom. As for the total moment: 4.516 μB/cell.

Entry 3:
Computed, not measured: a relaxed Cs2HfCuBr6 crystal at the PBE level of DFT.

Cell: 7.7121 7.7121 7.7121 Å, 60.00 60.00 60.00°
With the nearest neighbours (Å) after each atom.
Sites, in units of the cell vectors:
Cs: 0.2500 0.2500 0.2500  12 Br 3.86
Cs: 0.7500 0.7500 0.7500  12 Br 3.86
Hf: 0.0000 0.0000 0.0000  6 Br 2.69
Cu: 0.5000 0.5000 0.5000  6 Br 2.76
Br: 0.2467 0.2467 0.7533  1 Hf 2.69, 1 Cu 2.76
Br: 0.2467 0.7533 0.2467  1 Hf 2.69, 1 Cu 2.76
Br: 0.2467 0.7533 0.7533  1 Hf 2.69, 1 Cu 2.76
Br: 0.7533 0.2467 0.2467  1 Hf 2.69, 1 Cu 2.76
Br: 0.7533 0.2467 0.7533  1 Hf 2.69, 1 Cu 2.76
Br: 0.7533 0.7533 0.2467  1 Hf 2.69, 1 Cu 2.76

Values from the calculation:
For the total energy, the calculation gives -3.745 eV per atom. As for the total moment: 0.909 μB/cell.

Entry 4:
Computed, not measured: a relaxed Cs2InCuBr6 crystal at the PBE level of DFT.

Cell: 7.7195 7.7195 7.7195 Å, 60.00 60.00 60.00°
With the nearest neighbours (Å) after each atom.
Sites, in units of the cell vectors:
Cs: 0.2500 0.2500 0.2500  12 Br 3.86
Cs: 0.7500 0.7500 0.7500  12 Br 3.86
In: 0.0000 0.0000 0.0000  6 Br 2.77
Cu: 0.5000 0.5000 0.5000  6 Br 2.68
Br: 0.2541 0.2541 0.7459  1 Cu 2.68, 1 In 2.77
Br: 0.2541 0.7459 0.2541  1 Cu 2.68, 1 In 2.77
Br: 0.2541 0.7459 0.7459  1 Cu 2.68, 1 In 2.77
Br: 0.7459 0.2541 0.2541  1 Cu 2.68, 1 In 2.77
Br: 0.7459 0.2541 0.7459  1 Cu 2.68, 1 In 2.77
Br: 0.7459 0.7459 0.2541  1 Cu 2.68, 1 In 2.77

Values from the calculation:
For the total energy, the calculation gives -2.917 eV per atom.

Entry 5:
Computed, not measured: a relaxed Cs2InCuBr6 crystal at the PBE level of DFT.

Cell: 7.7122 7.7122 7.7122 Å, 119.99 119.99 60.01°
With the nearest neighbours (Å) after each atom.
Sites, in units of the cell vectors:
Cs: 0.2502 0.2502 0.2500  12 Br 3.85-3.87
Cs: 0.7498 0.7498 0.7500  12 Br 3.85-3.87
In: 0.0000 0.0000 0.5000  6 Br 2.77
Cu: 0.5000 0.5000 0.0000  6 Br 2.68
Br: 0.2533 0.7455 0.7535  1 Cu 2.68, 1 In 2.77
Br: 0.2540 0.2540 0.7549  1 Cu 2.68, 1 In 2.77
Br: 0.2545 0.7467 0.2465  1 Cu 2.68, 1 In 2.77
Br: 0.7455 0.2533 0.7535  1 Cu 2.68, 1 In 2.77
Br: 0.7460 0.7460 0.2451  1 Cu 2.68, 1 In 2.77
Br: 0.7467 0.2545 0.2465  1 Cu 2.68, 1 In 2.77

Values from the calculation:
For the total energy, the calculation gives -2.916 eV per atom.

Entry 6:
Computed, not measured: a relaxed Cs2LiCuBr6 crystal at the PBE level of DFT.

Cell: 7.5164 7.5164 7.5164 Å, 60.00 60.00 60.00°
With the nearest neighbours (Å) after each atom.
Sites, in units of the cell vectors:
Cs: 0.2500 0.2500 0.2500  12 Br 3.76
Cs: 0.7500 0.7500 0.7500  12 Br 3.76
Li: 0.0000 0.0000 0.0000  6 Br 2.74
Cu: 0.5000 0.5000 0.5000  6 Br 2.57
Br: 0.2581 0.2581 0.7419  1 Cu 2.57, 1 Li 2.74
Br: 0.2581 0.7419 0.2581  1 Cu 2.57, 1 Li 2.74
Br: 0.2581 0.7419 0.7419  1 Cu 2.57, 1 Li 2.74
Br: 0.7419 0.2581 0.2581  1 Cu 2.57, 1 Li 2.74
Br: 0.7419 0.2581 0.7419  1 Cu 2.57, 1 Li 2.74
Br: 0.7419 0.7419 0.2581  1 Cu 2.57, 1 Li 2.74

Values from the calculation:
For the total energy, the calculation gives -2.784 eV per atom.

Entry 7:
Computed, not measured: a relaxed Cs2ScCuBr6 crystal at the PBE level of DFT.

Cell: 7.6640 7.6640 7.6640 Å, 60.00 60.00 60.00°
With the nearest neighbours (Å) after each atom.
Sites, in units of the cell vectors:
Cs: 0.2500 0.2500 0.2500  12 Br 3.83
Cs: 0.7500 0.7500 0.7500  12 Br 3.83
Sc: 0.0000 0.0000 0.0000  6 Br 2.69
Cu: 0.5000 0.5000 0.5000  6 Br 2.73
Br: 0.2480 0.2480 0.7520  1 Sc 2.69, 1 Cu 2.73
Br: 0.2480 0.7520 0.2480  1 Sc 2.69, 1 Cu 2.73
Br: 0.2480 0.7520 0.7520  1 Sc 2.69, 1 Cu 2.73
Br: 0.7520 0.2480 0.2480  1 Sc 2.69, 1 Cu 2.73
Br: 0.7520 0.2480 0.7520  1 Sc 2.69, 1 Cu 2.73
Br: 0.7520 0.7520 0.2480  1 Sc 2.69, 1 Cu 2.73

Values from the calculation:
For the total energy, the calculation gives -3.623 eV per atom. As for the total moment: 0.001 μB/cell.

Entry 8:
Computed, not measured: a relaxed Cs2CuTcBr6 crystal at the PBE level of DFT.

Cell: 7.5831 7.5831 7.5831 Å, 60.00 60.00 60.00°
With the nearest neighbours (Å) after each atom.
Sites, in units of the cell vectors:
Cs: 0.2500 0.2500 0.2500  12 Br 3.79
Cs: 0.7500 0.7500 0.7500  12 Br 3.79
Cu: 0.0000 0.0000 0.0000  6 Br 2.71
Tc: 0.5000 0.5000 0.5000  6 Br 2.65
Br: 0.2528 0.2528 0.7472  1 Tc 2.65, 1 Cu 2.71
Br: 0.2528 0.7472 0.2528  1 Tc 2.65, 1 Cu 2.71
Br: 0.2528 0.7472 0.7472  1 Tc 2.65, 1 Cu 2.71
Br: 0.7472 0.2528 0.2528  1 Tc 2.65, 1 Cu 2.71
Br: 0.7472 0.2528 0.7472  1 Tc 2.65, 1 Cu 2.71
Br: 0.7472 0.7472 0.2528  1 Tc 2.65, 1 Cu 2.71

Values from the calculation:
For the total energy, the calculation gives -3.432 eV per atom. As for the total moment: 3.792 μB/cell.

Entry 9:
Computed, not measured: a relaxed CsDyBr3 crystal at the PBE level of DFT.

Cell: 9.8065 4.0599 17.2960 Å, 90.00 90.00 90.00°
With the nearest neighbours (Å) after each atom.
Sites, in units of the cell vectors:
Cs: 0.0634 0.2500 0.1732  9 Br 3.62-3.88
Cs: 0.4366 0.7500 0.6732  9 Br 3.62-3.88
Cs: 0.5634 0.2500 0.3268  9 Br 3.62-3.88
Cs: 0.9366 0.7500 0.8268  9 Br 3.62-3.88
Dy: 0.1265 0.7500 0.4554  6 Br 2.87-2.98
Dy: 0.3735 0.2500 0.9554  6 Br 2.87-2.98
Dy: 0.6265 0.7500 0.0446  6 Br 2.87-2.98
Dy: 0.8735 0.2500 0.5446  6 Br 2.87-2.98
Br: 0.0517 0.7500 0.6199  3 Dy 2.94-2.98
Br: 0.1755 0.7500 0.0013  2 Dy 2.92
Br: 0.2403 0.2500 0.8079  1 Dy 2.87
Br: 0.2597 0.7500 0.3079  1 Dy 2.87
Br: 0.3245 0.2500 0.5013  2 Dy 2.92
Br: 0.4483 0.2500 0.1199  3 Dy 2.94-2.98
Br: 0.5517 0.7500 0.8801  3 Dy 2.94-2.98
Br: 0.6755 0.7500 0.4987  2 Dy 2.92
Br: 0.7403 0.2500 0.6921  1 Dy 2.87
Br: 0.7597 0.7500 0.1921  1 Dy 2.87
Br: 0.8245 0.2500 0.9987  2 Dy 2.92
Br: 0.9483 0.2500 0.3801  3 Dy 2.94-2.98

Values from the calculation:
For the total energy, the calculation gives -3.765 eV per atom. As for the total moment: 4.000 μB/cell.

Entry 10:
Computed, not measured: a relaxed Cs2DyPdBr6 crystal at the PBE level of DFT.

Cell: 7.9985 7.9985 7.9985 Å, 121.60 121.60 87.25°
With the nearest neighbours (Å) after each atom.
Sites, in units of the cell vectors:
Cs: 0.2500 0.7500 0.5000  12 Br 3.90-4.00
Cs: 0.7500 0.2500 0.5000  12 Br 3.90-4.00
Dy: 0.0000 0.0000 0.0000  6 Br 2.79-2.80
Pd: 0.5000 0.5000 0.0000  6 Br 2.72-3.00
Br: 0.2411 0.2411 0.0000  1 Dy 2.79, 1 Pd 3.00
Br: 0.2536 0.2536 0.5072  1 Pd 2.72, 1 Dy 2.80
Br: 0.2536 0.7464 0.0000  1 Pd 2.72, 1 Dy 2.80
Br: 0.7464 0.2536 0.0000  1 Pd 2.72, 1 Dy 2.80
Br: 0.7464 0.7464 0.4928  1 Pd 2.72, 1 Dy 2.80
Br: 0.7589 0.7589 0.0000  1 Dy 2.79, 1 Pd 3.00

Values from the calculation:
For the total energy, the calculation gives -3.604 eV per atom. As for the total moment: 1.001 μB/cell.

Entry 11:
Computed, not measured: a relaxed Cs2ErBr4 crystal at the PBE level of DFT.

Cell: 11.0350 13.8662 4.4425 Å, 90.00 90.13 90.00°
With the nearest neighbours (Å) after each atom.
Sites, in units of the cell vectors:
Cs: 0.2500 0.2500 0.0000  6 Br 3.58-3.60
Cs: 0.2500 0.7500 0.0000  6 Br 3.58-3.60
Cs: 0.7500 0.2500 0.0000  6 Br 3.58-3.60
Cs: 0.7500 0.7500 0.0000  6 Br 3.58-3.60
Er: 0.0000 0.0000 0.5000  6 Br 2.83-2.91
Er: 0.5000 0.5000 0.5000  6 Br 2.83-2.91
Br: 0.0000 0.2042 0.5000  1 Er 2.83
Br: 0.0000 0.7958 0.5000  1 Er 2.83
Br: 0.1699 0.0000 0.0018  2 Er 2.90-2.91
Br: 0.3301 0.5000 0.9982  2 Er 2.90-2.91
Br: 0.5000 0.2958 0.5000  1 Er 2.83
Br: 0.5000 0.7042 0.5000  1 Er 2.83
Br: 0.6699 0.5000 0.0018  2 Er 2.90-2.91
Br: 0.8301 0.0000 0.9982  2 Er 2.90-2.91

Values from the calculation:
For the total energy, the calculation gives -3.466 eV per atom. As for the total moment: 0.685 μB/cell.

Entry 12:
Computed, not measured: a relaxed Cs2KErBr6 crystal at the PBE level of DFT.

Cell: 8.3828 8.3828 8.3828 Å, 60.00 60.00 60.00°
With the nearest neighbours (Å) after each atom.
Sites, in units of the cell vectors:
Cs: 0.2500 0.2500 0.2500  12 Br 4.20
Cs: 0.7500 0.7500 0.7500  12 Br 4.20
K: 0.0000 0.0000 0.0000  6 Br 3.16
Er: 0.5000 0.5000 0.5000  6 Br 2.77
Br: 0.2663 0.2663 0.7337  1 Er 2.77
Br: 0.2663 0.7337 0.2663  1 Er 2.77
Br: 0.2663 0.7337 0.7337  1 Er 2.77
Br: 0.7337 0.2663 0.2663  1 Er 2.77
Br: 0.7337 0.2663 0.7337  1 Er 2.77
Br: 0.7337 0.7337 0.2663  1 Er 2.77

Values from the calculation:
For the total energy, the calculation gives -3.597 eV per atom. As for the total moment: 0.000 μB/cell.

Which of these has the lowest total energy?
CsDyBr3

Among the records above, which one has the highest total energy?
Cs2LiCuBr6

Which of these has the highest total energy?
Cs2LiCuBr6

Look up the total energy of the ninth one.
-3.765 eV per atom